Ge2IrWF | GGA-PBEsol | optimized geometry

The total energy comes out at -0.469 Ry per atom. As for the crystal system: tetragonal. For the uncorrected formation energy, the calculation gives 0.705 eV/atom.

It has space group P4/mmm (No. 123), with a = 4.403 Å, b = 4.403 Å, c = 3.887 Å, α = 90.00°, β = 90.00° and γ = 90.00°. Symmetry generates all atoms from Ge at (0.000, 0.500, 0.000), Ir at (0.000, 0.000, 0.500), W at (0.500, 0.500, 0.500) and F at (0.500, 0.500, 0.000).